No. 1
Density functional theory data (meta-GGA SCAN) for K3TiBi at its PBEsol-relaxed geometry.

Cell: 6.031 6.031 6.031 Å, 90.00 90.00 90.00°
Fractional coordinates of all 5 atoms:
1 K 0.000 0.500 0.000
2 K 0.000 0.000 0.500
3 K 0.500 0.000 0.000
4 Bi 0.500 0.500 0.500
5 Ti 0.000 0.000 0.000

ΔE_f = 4.3 eV/f.u.
crystal system = cubic


No. 2
Density functional theory data (meta-GGA SCAN) for Hg3SbI at its PBEsol-relaxed geometry.

Cell: 5.531 5.531 5.531 Å, 90.00 90.00 90.00°
Fractional coordinates of all 5 atoms:
1 I 0.500 0.500 0.500
2 Sb 0.000 0.000 0.000
3 Hg 0.000 0.500 0.000
4 Hg 0.000 0.000 0.500
5 Hg 0.500 0.000 0.000

uncorrected formation energy = -0.090 eV/atom
crystal system = cubic


No. 3
Density functional theory data (meta-GGA SCAN) for Co2BiIrCl at its PBEsol-relaxed geometry.

Cell: 4.157 4.157 4.651 Å, 90.00 90.00 90.00°
Fractional coordinates of all 5 atoms:
1 Ir 0.000 0.000 0.500
2 Co 0.000 0.500 0.000
3 Co 0.500 0.000 0.000
4 Bi 0.500 0.500 0.500
5 Cl 0.000 0.000 0.000

uncorrected formation energy = 1.006 eV/atom
crystal system = tetragonal


No. 4
Density functional theory data (meta-GGA SCAN) for CuTcW2 at its PBEsol-relaxed geometry.

Cell: 2.654 2.654 8.155 Å, 90.00 90.00 90.00°
Fractional coordinates of all 4 atoms:
1 Cu 0.000 0.000 0.504
2 Tc 0.500 0.500 0.735
3 W 0.000 0.000 0.993
4 W 0.500 0.500 0.269

energy above the most stable polymorph in this dataset = 55.3 kJ/mol of formula units
ΔE_f = 1.5 eV/f.u.
crystal system = tetragonal


No. 5
Density functional theory data (meta-GGA SCAN) for KNp2Se6 at its PBEsol-relaxed geometry.

Cell: 3.983 5.403 11.225 Å, 103.93 100.22 90.00°
Fractional coordinates of all 9 atoms:
1 K 0.000 0.000 0.000
2 Np 0.183 0.683 0.365
3 Np 0.817 0.317 0.635
4 Se 0.777 0.777 0.553
5 Se 0.223 0.223 0.447
6 Se 0.608 0.856 0.217
7 Se 0.392 0.144 0.783
8 Se 0.392 0.639 0.783
9 Se 0.608 0.361 0.217

uncorrected formation energy = -1.028 eV/atom
crystal system = orthorhombic


No. 6
Density functional theory data (meta-GGA SCAN) for TlMo3F at its PBEsol-relaxed geometry.

Cell: 5.296 5.296 5.296 Å, 90.00 90.00 90.00°
Fractional coordinates of all 5 atoms:
1 Tl 0.000 0.000 0.000
2 Mo 0.000 0.500 0.000
3 Mo 0.000 0.000 0.500
4 Mo 0.500 0.000 0.000
5 F 0.500 0.500 0.500

uncorrected formation energy = 2.286 eV/atom
crystal system = cubic


No. 7
Density functional theory data (meta-GGA SCAN) for Ni3SbP2 at its PBEsol-relaxed geometry.

Cell: 3.705 3.705 6.907 Å, 90.00 90.00 120.00°
Fractional coordinates of all 6 atoms:
1 Ni 0.000 0.000 0.500
2 Ni 0.333 0.667 0.273
3 Ni 0.667 0.333 0.727
4 P 0.333 0.667 0.669
5 P 0.667 0.333 0.331
6 Sb 0.000 0.000 0.000

uncorrected formation energy = -0.139 eV/atom
crystal system = trigonal


No. 8
Density functional theory data (meta-GGA SCAN) for ReIrRh at its PBEsol-relaxed geometry.

Cell: 2.694 3.831 4.684 Å, 114.14 106.71 90.00°
Fractional coordinates of all 3 atoms:
1 Re 0.665 0.665 0.330
2 Ir 0.003 0.003 0.006
3 Rh 0.332 0.332 0.664

energy above the most stable polymorph in this dataset = 0.0 kJ/mol of formula units
ΔE_f = -0.5 eV/f.u.
crystal system = orthorhombic